Here is a relaxed structure of Y3Tm4 from the Alexandria database. Energies are from PBE.

Summary:
Calculated formation energy in eV/atom: 0.0035
E above lowest polymorph in eV/atom: 0.000
Total magnetization in μB/atom: 0.00

Geometry as CIF:
```
data_Y3Tm4
_chemical_formula_sum 'Y6 Tm8'
_space_group_name_H-M_alt 'P 63/m'
_space_group_IT_number 176
_space_group_name_Hall '-P 6c'
_cell_length_a 9.5192
_cell_length_b 9.5192
_cell_length_c 5.5928
_cell_angle_alpha 90.00
_cell_angle_beta 90.00
_cell_angle_gamma 120.00
loop_
_atom_site_label
_atom_site_fract_x
_atom_site_fract_y
_atom_site_fract_z
_atom_site_occupancy
Y1 0.0488 0.8078 0.2500 1
Tm1 0.0956 0.6171 0.7500 1
Tm2 0.3333 0.6667 0.2500 1
```